No. 1
Material: Ce3Pu5S8
Method: DFT, PBE
State: relaxed

Cell and atoms, written as extended XYZ:
```
16
Lattice="6.917 0.000 3.962 2.324 6.515 3.962 0.027 0.019 7.972" Properties=species:S:1:pos:R:3 pbc="T T T"
S 5.748 1.643 9.965
Pu 3.459 0.000 1.981
S 6.924 4.881 11.970
Ce 3.472 0.010 5.967
Pu 0.000 0.000 0.000
S 3.520 4.891 5.931
S 2.344 1.653 3.927
Pu 4.634 3.267 7.948
Ce 0.014 0.010 3.986
Pu 1.162 3.258 1.981
S 5.789 1.672 5.931
Pu 4.620 3.258 3.962
S 3.479 4.862 9.965
S 6.937 4.891 7.889
Ce 1.175 3.267 5.967
S 2.331 1.643 8.007
```

Values from the calculation:
Space group: No. 166
Calculated total energy (eV per atom): -9.519
Density of states at the Fermi level (states/eV per cell): 49.9
Raw formation energy (eV per atom): -1.864
M_tot (μB per formula unit): 30.66



No. 2
Material: Ba2B2Ru
Method: DFT, PBE
State: relaxed

Cell and atoms, written as extended XYZ:
```
10
Lattice="8.514 0.000 0.000 0.000 8.514 0.000 0.000 0.000 3.399" Properties=species:S:1:pos:R:3 pbc="T T T"
Ba 2.431 6.688 0.000
B 3.701 0.556 1.700
Ba 1.827 2.431 0.000
Ru 0.000 0.000 0.000
Ba 6.688 6.084 0.000
B 0.556 4.813 1.700
Ba 6.084 1.827 0.000
Ru 4.257 4.257 0.000
B 4.813 7.958 1.700
B 7.958 3.701 1.700
```

Values from the calculation:
Space group: No. 127
Energy above the most stable polymorph in this dataset (meV/atom): 0
Calculated total energy (eV per atom): -4.155
Density of states at the Fermi level (states/eV per cell): 14.3
Calculated formation energy (meV/atom): 1140
M_tot (μB per formula unit): 1.91



No. 3
Material: BeZn2Pd8
Method: DFT, PBE
State: relaxed

Cell and atoms, written as extended XYZ:
```
11
Lattice="3.888 0.000 -1.183 -1.068 6.180 -3.510 -0.004 -0.225 6.964" Properties=species:S:1:pos:R:3 pbc="T T T"
Zn 2.785 1.715 2.172
Zn 0.030 4.241 0.099
Pd 2.088 2.600 -0.117
Pd -0.337 1.950 -1.107
Pd 0.369 0.752 1.213
Pd 0.727 3.355 2.388
Pd 1.206 0.585 3.962
Pd 3.152 4.006 3.378
Pd 1.609 5.371 -1.691
Be 1.944 0.000 -0.592
Pd 2.446 5.203 1.058
```

Values from the calculation:
Space group: No. 71
Energy above the most stable polymorph in this dataset (meV/atom): 41
Calculated total energy (eV per atom): -4.605
Density of states at the Fermi level (states/eV per cell): 7.8
Calculated formation energy (meV/atom): -258
M_tot (μB per formula unit): 0.00



No. 4
Material: Pm2PuPt9
Method: DFT, PBE
State: relaxed

Cell and atoms, written as extended XYZ:
```
12
Lattice="-0.436 -0.262 5.424 1.848 -4.372 2.673 8.446 2.333 3.528" Properties=species:S:1:pos:R:3 pbc="T T T"
Pt 2.724 -1.326 4.244
Pt 3.658 -3.535 5.595
Pt 7.354 -0.842 4.640
Pm 5.122 0.717 3.182
Pt 2.504 -1.458 6.985
Pm 4.735 -3.017 8.442
Pt 6.199 1.235 6.030
Pt 4.929 -1.150 5.812
Pu 0.000 0.000 0.000
Pt 7.133 -0.974 7.381
Pt 0.484 -1.538 2.700
Pt 9.374 -0.762 8.924
```

Values from the calculation:
Space group: No. 166
Calculated total energy (eV per atom): -7.356
Density of states at the Fermi level (states/eV per cell): 19.3
Calculated formation energy (meV/atom): -839
M_tot (μB per formula unit): 5.22



No. 5
Material: Al2TlW
Method: DFT, PBE
State: relaxed

Cell and atoms, written as extended XYZ:
```
4
Lattice="-2.723 -1.549 -5.845 -1.513 -2.138 4.314 -2.707 0.997 -0.444" Properties=species:S:1:pos:R:3 pbc="T T T"
Al -2.715 -0.276 -3.144
W -2.118 -1.844 -0.766
Tl -2.110 -0.570 1.935
Al 0.000 0.000 0.000
```

Values from the calculation:
Space group: No. 12
Energy above the most stable polymorph in this dataset (meV/atom): 188
Calculated total energy (eV per atom): -5.228
Density of states at the Fermi level (states/eV per cell): 2.4
Calculated formation energy (meV/atom): 473
M_tot (μB per formula unit): 0.00



No. 6
Material: Li2ZrGeS4
Method: DFT, PBE
State: relaxed

Cell and atoms, written as extended XYZ:
```
8
Lattice="3.744 0.000 0.000 0.000 6.389 -0.104 0.000 2.277 6.201" Properties=species:S:1:pos:R:3 pbc="T T T"
S 1.872 5.320 1.522
Li 0.000 2.277 6.201
S 1.872 3.346 4.575
S 3.744 2.236 1.579
Zr 0.000 4.333 3.048
S 0.000 6.430 4.518
Ge 1.872 3.195 -0.052
Li 1.872 1.138 3.101
```

Values from the calculation:
Space group: No. 10
Calculated total energy (eV per atom): -5.341
Density of states at the Fermi level (states/eV per cell): 0.6
Raw formation energy (eV per atom): -1.153
M_tot (μB per formula unit): 0.00



No. 7
Material: NbHSe3
Method: DFT, PBE
State: relaxed

Cell and atoms, written as extended XYZ:
```
5
Lattice="5.055 0.000 0.000 0.000 5.055 0.000 0.000 0.000 5.055" Properties=species:S:1:pos:R:3 pbc="T T T"
Nb 0.000 0.000 0.000
Se 0.000 0.000 2.528
Se 2.528 0.000 0.000
H 2.528 2.528 2.528
Se 0.000 2.528 0.000
```

Values from the calculation:
Space group: No. 221
Energy above the most stable polymorph in this dataset (meV/atom): 456
Calculated total energy (eV per atom): -4.526
Density of states at the Fermi level (states/eV per cell): 2.4
M_tot (μB per formula unit): 0.99



No. 8
Material: MgNi3H
Method: DFT, PBE
State: relaxed

Cell and atoms, written as extended XYZ:
```
5
Lattice="-0.818 -3.274 -0.185 2.531 -0.509 -2.182 3.852 -1.231 4.755" Properties=species:S:1:pos:R:3 pbc="T T T"
Ni 1.430 -2.225 2.178
Ni 2.873 -0.918 3.547
H 2.453 -2.402 0.788
Mg 0.572 -0.183 0.706
Ni 3.105 -0.842 1.180
```

Values from the calculation:
Space group: No. 99
Energy above the most stable polymorph in this dataset (meV/atom): 533
Calculated total energy (eV per atom): -4.081
Density of states at the Fermi level (states/eV per cell): 4.4
M_tot (μB per formula unit): 0.91



No. 9
Material: Ac3AlGa3
Method: DFT, PBE
State: relaxed

Cell and atoms, written as extended XYZ:
```
14
Lattice="4.601 0.000 0.693 2.261 6.039 0.612 0.174 0.181 14.461" Properties=species:S:1:pos:R:3 pbc="T T T"
Ac 2.629 1.930 13.786
Al 3.269 5.722 9.539
Al 3.767 0.498 6.227
Ga 4.435 0.745 1.794
Ga 1.319 1.457 6.862
Ac 3.754 4.074 6.317
Ga 0.661 1.083 11.230
Ga 6.375 5.137 4.536
Ga 5.717 4.764 8.904
Ac 4.407 4.290 1.980
Ac 3.282 2.147 9.450
Ac 5.226 4.606 12.163
Ga 2.601 5.475 13.972
Ac 1.810 1.614 3.604
```

Values from the calculation:
Space group: No. 12
Energy above the most stable polymorph in this dataset (meV/atom): 0
Calculated total energy (eV per atom): -4.103
Density of states at the Fermi level (states/eV per cell): 10.3
Calculated formation energy (meV/atom): -510
M_tot (μB per formula unit): 0.00



No. 10
Material: NdPuTcRu
Method: DFT, PBE
State: relaxed

Cell and atoms, written as extended XYZ:
```
4
Lattice="-3.792 2.968 -0.709 -4.506 -1.518 1.038 -2.378 1.865 3.816" Properties=species:S:1:pos:R:3 pbc="T T T"
Tc -8.007 2.486 3.109
Nd 0.000 0.000 0.000
Pu -5.338 1.657 2.072
Ru -2.669 0.829 1.036
```

Values from the calculation:
Space group: No. 216
Calculated total energy (eV per atom): -9.604
Density of states at the Fermi level (states/eV per cell): 5.4
Calculated formation energy (meV/atom): 81
M_tot (μB per formula unit): 3.64



No. 11
Material: Tm4ZnCu2Au
Method: DFT, PBE
State: relaxed

Cell and atoms, written as extended XYZ:
```
8
Lattice="4.918 0.000 0.000 2.459 4.259 0.000 2.459 1.420 8.082" Properties=species:S:1:pos:R:3 pbc="T T T"
Cu 2.459 1.420 1.892
Au 4.918 2.839 4.041
Cu 7.377 4.259 6.190
Tm 4.918 2.839 1.014
Tm 2.459 1.420 5.055
Tm 4.918 2.839 7.068
Tm 7.377 4.259 3.027
Zn 0.000 0.000 0.000
```

Values from the calculation:
Space group: No. 166
Calculated total energy (eV per atom): -4.280
Density of states at the Fermi level (states/eV per cell): 6.2
Calculated formation energy (meV/atom): -451
M_tot (μB per formula unit): 0.00



No. 12
Material: Sc11Co4Pb9
Method: DFT, PBE
State: relaxed

Cell and atoms, written as extended XYZ:
```
24
Lattice="-3.226 -1.269 0.285 2.450 -8.299 -9.209 2.828 -4.620 11.416" Properties=species:S:1:pos:R:3 pbc="T T T"
Sc 1.669 -4.086 0.698
Pb 2.859 -11.929 0.469
Sc 3.609 -8.833 1.509
Pb -0.807 -2.259 2.024
Pb -0.864 -2.814 -1.088
Pb 1.713 -7.661 6.493
Co 0.197 -5.533 -1.182
Pb 1.530 -9.444 -3.502
Sc 1.420 -2.715 3.979
Pb 0.339 -6.527 -4.000
Sc 2.591 -6.921 -1.485
Sc 1.295 -3.932 -2.844
Sc 0.000 0.000 0.000
Sc 2.509 -7.723 -5.982
Pb 2.916 -11.374 3.581
Sc 3.858 -10.204 -1.772
Sc 3.983 -8.987 5.051
Pb 0.522 -4.744 5.995
Co 1.778 -9.403 -0.521
Pb 1.026 -7.094 1.246
Sc 2.686 -5.998 3.692
Co 1.855 -8.655 3.675
Co 0.274 -4.785 3.014
Sc 2.769 -5.196 8.189
```

Values from the calculation:
Space group: No. 65
Calculated total energy (eV per atom): -5.805
Density of states at the Fermi level (states/eV per cell): 16.5
Calculated formation energy (meV/atom): -328
M_tot (μB per formula unit): 0.95